# 1
The following is a PBE calculation of crystalline BaTl2Ir at its relaxed geometry, from Alexandria.

Output
VASP energy: -3.856 eV per atom
Energy of formation from the pure elements: 0.02 eV per atom

a b c (Å): 6.3958 6.3958 6.3958
angles (deg): 146.30 127.10 64.20
Fractional coordinates of all 4 atoms:
Ba (0.0000, 0.0000, 0.0000)
Tl (0.3006, 0.8006, 0.5000)
Tl (0.6994, 0.1994, 0.5000)
Ir (0.5000, 0.5000, 0.0000)

---

# 2
The following is a PBE calculation of crystalline BaTl2Ir at its relaxed geometry, from Alexandria.

Output
VASP energy: -3.854 eV per atom
Energy of formation from the pure elements: 0.03 eV per atom

a b c (Å): 5.0433 3.9884 6.5254
angles (deg): 90.00 112.56 90.00
Fractional coordinates of all 4 atoms:
Ba (0.0000, 0.0000, 0.0000)
Tl (0.2985, 0.0000, 0.5947)
Tl (0.6901, 0.5000, 0.3793)
Ir (0.4610, 0.5000, 0.9197)

---

# 3
The following is a PBE calculation of crystalline BaTl2Ir at its relaxed geometry, from Alexandria.

Output
VASP energy: -3.760 eV per atom
Energy of formation from the pure elements: 0.12 eV per atom

a b c (Å): 3.6249 3.6249 7.9847
angles (deg): 90.00 90.00 90.00
Fractional coordinates of all 4 atoms:
Ba (0.0000, 0.0000, 0.0000)
Tl (0.5000, 0.5000, 0.3105)
Tl (0.5000, 0.5000, 0.6895)
Ir (0.0000, 0.0000, 0.5000)

---

# 4
The following is a PBE calculation of crystalline Ba2TlIr at its relaxed geometry, from Alexandria.

Output
VASP energy: -3.685 eV per atom
Energy above the lowest structure with this stoichiometry: 84 kJ/mol of formula units
Energy of formation from the pure elements: 0.08 eV per atom

a b c (Å): 3.8742 3.8742 9.4810
angles (deg): 90.00 90.00 90.00
Fractional coordinates of all 4 atoms:
Ba (0.0000, 0.0000, 0.0000)
Ba (0.5000, 0.5000, 0.4334)
Tl (0.5000, 0.5000, 0.7732)
Ir (0.0000, 0.0000, 0.6525)

---

# 5
The following is a PBE calculation of crystalline BaTl2Ir at its relaxed geometry, from Alexandria.

Output
VASP energy: -3.634 eV per atom
Energy of formation from the pure elements: 0.24 eV per atom

a b c (Å): 4.5879 4.5879 5.3150
angles (deg): 90.00 90.00 90.00
Fractional coordinates of all 4 atoms:
Ba (0.0000, 0.0000, 0.0000)
Tl (0.0000, 0.5000, 0.5000)
Tl (0.5000, 0.0000, 0.5000)
Ir (0.5000, 0.5000, 0.0000)

---

# 6
The following is a PBE calculation of crystalline Ba2TlIr at its relaxed geometry, from Alexandria.

Output
VASP energy: -3.746 eV per atom
Energy above the lowest structure with this stoichiometry: 61 kJ/mol of formula units
Energy of formation from the pure elements: 0.02 eV per atom

a b c (Å): 5.6584 5.6584 5.6584
angles (deg): 60.00 60.00 60.00
Fractional coordinates of all 4 atoms:
Ba (0.2500, 0.2500, 0.2500)
Ba (0.7500, 0.7500, 0.7500)
Tl (0.0000, 0.0000, 0.0000)
Ir (0.5000, 0.5000, 0.5000)

---

# 7
The following is a PBE calculation of crystalline Ba2TlIr at its relaxed geometry, from Alexandria.

Output
VASP energy: -3.829 eV per atom
Energy above the lowest structure with this stoichiometry: 29 kJ/mol of formula units
Energy of formation from the pure elements: -0.06 eV per atom

a b c (Å): 7.0918 7.0918 7.0918
angles (deg): 148.10 134.50 56.64
Fractional coordinates of all 4 atoms:
Ba (0.0000, 0.0000, 0.0000)
Ba (0.6937, 0.1937, 0.5000)
Tl (0.3191, 0.8191, 0.5000)
Ir (0.4824, 0.4824, 0.0000)

---

# 8
The following is a PBE calculation of crystalline Ba2TlIr at its relaxed geometry, from Alexandria.

Output
VASP energy: -3.834 eV per atom
Energy above the lowest structure with this stoichiometry: 27 kJ/mol of formula units
Energy of formation from the pure elements: -0.07 eV per atom

a b c (Å): 3.8154 4.0239 8.5884
angles (deg): 90.00 90.00 90.00
Fractional coordinates of all 4 atoms:
Ba (0.0000, 0.0000, 0.2063)
Ba (0.0000, 0.0000, 0.7937)
Tl (0.5000, 0.5000, 0.5000)
Ir (0.5000, 0.5000, 0.0000)

---

Number 1: ρ 10.7 g/cm3. Number 2: ρ 10.1 g/cm3. Number 3: ρ 11.7 g/cm3. Number 4: ρ 7.8 g/cm3. Number 5: ρ 11.0 g/cm3. Number 6: ρ 8.7 g/cm3. Number 7: ρ 8.4 g/cm3. Number 8: ρ 8.5 g/cm3.